No. 1
# Sm2ErMg4

An optimized crystal structure of Sm2ErMg4 (GGA-PBE, the Alexandria database).

Unit cell a=5.556 b=5.556 c=16.208 alpha=90.00 beta=90.00 gamma=90.00
Space group I4/mmm (No. 139)
Unique sites:
Sm1 0.000 0.000 0.106
Er1 0.000 0.000 0.500
Mg1 0.000 0.000 0.313
Mg2 0.000 0.500 0.000

Calculated values
Its excess energy over the best structure of this formula in the dataset is 3.02 eV/f.u. The density of states at the Fermi level is 18.030 states/eV/cell. The total magnetic moment comes out at 0.0 μB/f.u. The value obtained for the mass density is 3.75 g cm⁻³.

No. 2
# Sm8Er4Mg

An optimized crystal structure of Sm8Er4Mg (GGA-PBE, the Alexandria database).

Unit cell a=7.1214 b=7.1214 c=29.6929 alpha=90.00 beta=90.00 gamma=120.00
Space group R-3m (No. 166, hexagonal axes)
Unique sites:
Sm1 0.0000 0.0000 0.2192
Sm2 0.0107 0.5053 0.7602
Er1 0.0000 0.0000 0.0000
Er2 0.0000 0.5000 0.0000
Mg1 0.0000 0.0000 0.5000

Calculated values
The density of states at the Fermi level is 49.859 states/eV/cell. The total magnetic moment comes out at 0.0 μB/f.u. The value obtained for the mass density is 7.24 g cm⁻³.

No. 3
# SmEr4Mg7

An optimized crystal structure of SmEr4Mg7 (GGA-PBE, the Alexandria database).

Unit cell a=5.2891 b=5.2891 c=13.1981 alpha=90.00 beta=90.00 gamma=120.00
Space group P-3m1 (No. 164)
Unique sites:
Sm1 0.0000 0.0000 0.0000
Er1 0.3333 0.6667 0.1651
Er2 0.3333 0.6667 0.4241
Mg1 0.0000 0.0000 0.2646
Mg2 0.0000 0.0000 0.5000
Mg3 0.3333 0.6667 0.6805
Mg4 0.3333 0.6667 0.9171

Calculated values
The density of states at the Fermi level is 12.426 states/eV/cell. The total magnetic moment comes out at 0.0 μB/f.u. The value obtained for the mass density is 5.14 g cm⁻³.

No. 4
# Sm3Er2Mg3

An optimized crystal structure of Sm3Er2Mg3 (GGA-PBE, the Alexandria database).

Unit cell a=3.770 b=5.493 c=22.475 alpha=90.00 beta=90.00 gamma=90.00
Space group Immm (No. 71)
Unique sites:
Sm1 0.000 0.000 0.000
Sm2 0.000 0.500 0.126
Er1 0.000 0.000 0.236
Mg1 0.000 0.000 0.500
Mg2 0.000 0.500 0.381

Calculated values
The density of states at the Fermi level is 21.058 states/eV/cell. The total magnetic moment comes out at 0.0 μB/f.u. The value obtained for the mass density is 6.13 g cm⁻³.

No. 5
# SmEr7Mg4

An optimized crystal structure of SmEr7Mg4 (GGA-PBE, the Alexandria database).

Unit cell a=13.543 b=5.664 c=11.228 alpha=90.00 beta=123.60 gamma=90.00
Space group C2/m (No. 12)
Unique sites:
Sm1 0.000 0.000 0.000
Er1 0.000 0.500 0.000
Er2 0.056 0.000 0.383
Er3 0.173 0.500 0.612
Er4 0.221 0.000 0.881
Mg1 0.065 0.500 0.783
Mg2 0.187 0.500 0.335

Calculated values
The density of states at the Fermi level is 27.099 states/eV/cell. The total magnetic moment comes out at 0.0 μB/f.u. The value obtained for the mass density is 6.57 g cm⁻³.

No. 6
# Sm2Er3Mg8

An optimized crystal structure of Sm2Er3Mg8 (GGA-PBE, the Alexandria database).

Unit cell a=5.8572 b=5.8572 c=37.0315 alpha=90.00 beta=90.00 gamma=120.00
Space group R-3m (No. 166, hexagonal axes)
Unique sites:
Sm1 0.0000 0.0000 0.1391
Er1 0.0000 0.0000 0.3161
Er2 0.0000 0.0000 0.5000
Mg1 0.0000 0.0000 0.2257
Mg2 0.0005 0.5003 0.2718

Calculated values
The density of states at the Fermi level is 43.556 states/eV/cell. The total magnetic moment comes out at 0.0 μB/f.u. The value obtained for the mass density is 4.51 g cm⁻³.

No. 7
# Sm2Er3Mg3

An optimized crystal structure of Sm2Er3Mg3 (GGA-PBE, the Alexandria database).

Unit cell a=3.786 b=5.398 c=22.378 alpha=90.00 beta=90.00 gamma=90.00
Space group Immm (No. 71)
Unique sites:
Sm1 0.000 0.000 0.234
Er1 0.000 0.000 0.000
Er2 0.000 0.500 0.123
Mg1 0.000 0.000 0.500
Mg2 0.000 0.500 0.386

Calculated values
The density of states at the Fermi level is 17.910 states/eV/cell. The total magnetic moment comes out at 0.0 μB/f.u. The value obtained for the mass density is 6.36 g cm⁻³.

No. 8
# SmEr2Mg8

An optimized crystal structure of SmEr2Mg8 (GGA-PBE, the Alexandria database).

Unit cell a=5.316 b=7.833 c=13.968 alpha=90.00 beta=90.00 gamma=90.00
Space group Immm (No. 71)
Unique sites:
Sm1 0.000 0.000 0.000
Er1 0.000 0.000 0.288
Mg1 0.000 0.204 0.500
Mg2 0.000 0.311 0.136
Mg3 0.000 0.500 0.346

Calculated values
The density of states at the Fermi level is 17.530 states/eV/cell. The total magnetic moment comes out at 0.0 μB/f.u. The value obtained for the mass density is 3.88 g cm⁻³.

No. 9
# Sm2ErMg6

An optimized crystal structure of Sm2ErMg6 (GGA-PBE, the Alexandria database).

Unit cell a=9.1228 b=9.1228 c=3.2991 alpha=90.00 beta=90.00 gamma=120.00
Space group P6/mmm (No. 191)
Unique sites:
Sm1 0.3333 0.6667 0.0000
Er1 0.0000 0.0000 0.0000
Mg1 0.0000 0.3298 0.5000

Calculated values
The density of states at the Fermi level is 4.675 states/eV/cell. The total magnetic moment comes out at 0.0 μB/f.u. The value obtained for the mass density is 4.29 g cm⁻³.

No. 10
# Sm3Er2Mg8

An optimized crystal structure of Sm3Er2Mg8 (GGA-PBE, the Alexandria database).

Unit cell a=5.8391 b=5.8391 c=37.3955 alpha=90.00 beta=90.00 gamma=120.00
Space group R-3m (No. 166, hexagonal axes)
Unique sites:
Sm1 0.0000 0.0000 0.0000
Sm2 0.0000 0.0000 0.1831
Er1 0.0000 0.0000 0.3595
Mg1 0.0000 0.0000 0.2754
Mg2 0.0009 0.5004 0.7681

Calculated values
The density of states at the Fermi level is 44.278 states/eV/cell. The total magnetic moment comes out at 0.0 μB/f.u. The value obtained for the mass density is 4.42 g cm⁻³.

No. 11
# Sm8Er6Mg

An optimized crystal structure of Sm8Er6Mg (GGA-PBE, the Alexandria database).

Unit cell a=9.3440 b=9.3440 c=6.4040 alpha=90.00 beta=90.00 gamma=120.00
Space group P-3 (No. 147)
Unique sites:
Sm1 0.0384 0.7642 0.3217
Sm2 0.3333 0.6667 0.3473
Er1 0.0954 0.6476 0.8303
Mg1 0.0000 0.0000 0.0000

Calculated values
The density of states at the Fermi level is 21.806 states/eV/cell. The total magnetic moment comes out at 0.0 μB/f.u. The value obtained for the mass density is 7.65 g cm⁻³.

No. 12
# Sm2ErMg2

An optimized crystal structure of Sm2ErMg2 (GGA-PBE, the Alexandria database).

Unit cell a=5.232 b=6.946 c=8.241 alpha=90.00 beta=90.00 gamma=90.00
Space group Immm (No. 71)
Unique sites:
Sm1 0.000 0.000 0.196
Er1 0.000 0.500 0.000
Mg1 0.000 0.291 0.500

Calculated values
Its excess energy over the best structure of this formula in the dataset is 0.57 eV/f.u. The density of states at the Fermi level is 14.662 states/eV/cell. The total magnetic moment comes out at 0.0 μB/f.u. The value obtained for the mass density is 5.73 g cm⁻³.

Number 1: energy relative to the elements 0.56 eV/atom. Number 2: energy relative to the elements 0.18 eV/atom. Number 3: energy relative to the elements -0.01 eV/atom. Number 4: energy relative to the elements -0.06 eV/atom. Number 5: energy relative to the elements 0.24 eV/atom. Number 6: energy relative to the elements 0.12 eV/atom. Number 7: energy relative to the elements -0.04 eV/atom. Number 8: energy relative to the elements 0.06 eV/atom. Number 9: energy relative to the elements -0.08 eV/atom. Number 10: energy relative to the elements 0.12 eV/atom. Number 11: energy relative to the elements 0.14 eV/atom. Number 12: energy relative to the elements 0.05 eV/atom.